1.
This record from Alexandria describes a geometry-optimized Li2CoSn2 structure. The functional is GGA-PBE.

The structure in POSCAR format:
```
Li2CoSn2
1.0
-4.519 -2.851 -4.177
-0.319 -5.430 4.051
-3.103 1.780 2.142
Co Sn Li
2 4 4
Direct
0.000 0.000 0.000
0.500 0.500 0.000
0.344 0.844 0.000
0.844 0.656 0.000
0.656 0.156 0.000
0.156 0.344 0.000
0.155 0.655 0.500
0.655 0.845 0.500
0.845 0.345 0.500
0.345 0.155 0.500
```

Properties
* density of states at the Fermi level: 0.506 states/eV/atom
* calculated total energy: -38.4 eV/cell
* volume: 19.17 Å³/atom
* energy of formation: -0.05 eV per atom



2.
This record from Alexandria describes a geometry-optimized Nd4DyEr2 structure. The functional is GGA-PBE.

The structure in POSCAR format:
```
Nd4DyEr2
1.0
6.881 0.000 0.000
3.441 8.262 -1.129
3.441 1.622 8.180
Nd Dy Er
8 2 4
Direct
0.149 0.355 0.347
0.149 0.847 0.855
0.230 0.240 0.740
0.789 0.240 0.740
0.211 0.760 0.260
0.851 0.153 0.145
0.770 0.760 0.260
0.851 0.645 0.653
0.000 0.500 0.000
0.500 0.500 0.000
0.282 0.968 0.468
0.500 0.000 0.000
0.500 0.500 0.500
0.718 0.032 0.532
```

Properties
* density of states at the Fermi level: 1.458 states/eV/atom
* calculated total energy: -62.0 eV/cell
* volume: 34.12 Å³/atom
* energy of formation: 0.25 eV per atom
* E above lowest polymorph: 0.195 eV/atom



3.
This record from Alexandria describes a geometry-optimized SrCo5 structure. The functional is GGA-PBE.

The structure in POSCAR format:
```
SrCo5
1.0
3.015 0.000 0.000
0.000 3.015 0.000
0.000 0.000 9.583
Sr Co
1 5
Direct
0.500 0.500 0.000
0.000 0.000 0.754
0.000 0.000 0.246
0.500 0.500 0.636
0.500 0.500 0.364
0.000 0.000 0.500
```

Properties
* density of states at the Fermi level: 1.179 states/eV/atom
* calculated total energy: -35.0 eV/cell
* volume: 14.52 Å³/atom
* energy of formation: 0.36 eV per atom



4.
This record from Alexandria describes a geometry-optimized TaCr4Ru structure. The functional is GGA-PBE.

The structure in POSCAR format:
```
TaCr4Ru
1.0
0.000 3.406 3.406
3.406 0.000 3.406
3.406 3.406 0.000
Ta Cr Ru
1 4 1
Direct
0.000 0.000 0.000
0.880 0.373 0.373
0.373 0.373 0.880
0.373 0.880 0.373
0.373 0.373 0.373
0.750 0.750 0.750
```

Properties
* density of states at the Fermi level: 1.902 states/eV/atom
* calculated total energy: -59.6 eV/cell
* volume: 13.18 Å³/atom
* energy of formation: 0.01 eV per atom